This record from Alexandria via LeMat-Bulk describes a relaxed structure of Sr2CoO3. The functional is PBE with a Hubbard U.

Summary:
Magnetic moment in μB/atom: 0.50
Calculated volume in Å³ per cell: 405.0
Total energy in eV/atom: -6.02

Unit cell a=11.0367 b=6.2475 c=6.6197 alpha=90.00 beta=117.45 gamma=90.00
Space group C2/c (No. 15)
Symmetry-distinct sites (fractional):
Sr1 0.1603 0.1516 0.1908 x8
Co1 0.0000 0.4088 0.7500 x4
O1 0.0000 0.0946 0.7500 x4
O2 0.1732 0.4856 0.4206 x8